This record from the Alexandria database describes Y3NbTe after structural relaxation. The functional is GGA-PBE.

It has space group Pm-3m (No. 221), with a = 5.587 Å, b = 5.587 Å, c = 5.587 Å, α = 90.00°, β = 90.00° and γ = 90.00°. Symmetry generates all atoms from Y at (0.000, 0.000, 0.500), Nb at (0.500, 0.500, 0.500) and Te at (0.000, 0.000, 0.000).

The polymorph energy (0 for the lowest one) is 214 meV/atom. As for the density of states at the Fermi level: 1.158 states/eV/atom. Its formation energy without anion corrections is 0.513 eV/atom. For the total energy, the calculation gives -6.0076 eV per atom.